# Bi4PdPt

Bi4PdPt after structural relaxation (GGA-PBE, Alexandria).

CIF file:
```
data_Bi4PdPt
_space_group_name_H-M_alt 'P 1'
_space_group_IT_number 1
_cell_length_a 6.820
_cell_length_b 6.818
_cell_length_c 6.817
_cell_angle_alpha 90.00
_cell_angle_beta 90.48
_cell_angle_gamma 90.00
loop_
_space_group_symop_operation_xyz
'x,y,z'
loop_
_atom_site_label
_atom_site_type_symbol
_atom_site_fract_x
_atom_site_fract_y
_atom_site_fract_z
Bi1 Bi 0.131 0.130 0.132
Bi2 Bi 0.131 0.370 0.632
Bi3 Bi 0.369 0.632 0.129
Bi4 Bi 0.369 0.868 0.629
Bi5 Bi 0.631 0.132 0.371
Bi6 Bi 0.631 0.368 0.871
Bi7 Bi 0.869 0.630 0.368
Bi8 Bi 0.869 0.870 0.868
Pd1 Pd 0.500 0.000 0.000
Pd2 Pd 0.500 0.500 0.500
Pt1 Pt 0.000 0.000 0.500
Pt2 Pt 0.000 0.500 0.000
```

N(E_F) ... 0.088 states/eV/atom
Space group ... P2_1/c
Formation enthalpy at 0 K ... -234 meV/atom

=====

# Bi3Pd6Pt

Bi3Pd6Pt after structural relaxation (GGA-PBE, Alexandria).

CIF file:
```
data_Bi3Pd6Pt
_space_group_name_H-M_alt 'P 1'
_space_group_IT_number 1
_cell_length_a 9.309
_cell_length_b 4.158
_cell_length_c 10.865
_cell_angle_alpha 90.00
_cell_angle_beta 112.06
_cell_angle_gamma 90.00
loop_
_space_group_symop_operation_xyz
'x,y,z'
loop_
_atom_site_label
_atom_site_type_symbol
_atom_site_fract_x
_atom_site_fract_y
_atom_site_fract_z
Bi1 Bi 0.027 0.250 0.291
Bi2 Bi 0.295 0.250 0.844
Bi3 Bi 0.342 0.750 0.593
Bi4 Bi 0.658 0.250 0.407
Bi5 Bi 0.705 0.750 0.156
Bi6 Bi 0.973 0.750 0.709
Pd1 Pd 0.001 0.250 0.903
Pd2 Pd 0.108 0.250 0.567
Pd3 Pd 0.244 0.750 0.996
Pd4 Pd 0.365 0.250 0.434
Pd5 Pd 0.424 0.750 0.277
Pd6 Pd 0.492 0.250 0.112
Pd7 Pd 0.508 0.750 0.888
Pd8 Pd 0.576 0.250 0.723
Pd9 Pd 0.635 0.750 0.566
Pd10 Pd 0.756 0.250 0.004
Pd11 Pd 0.892 0.750 0.433
Pd12 Pd 0.999 0.750 0.097
Pt1 Pt 0.222 0.250 0.160
Pt2 Pt 0.778 0.750 0.840
```

N(E_F) ... 0.612 states/eV/atom
Space group ... P2_1/m
Formation enthalpy at 0 K ... -185 meV/atom

=====

# BiPd7Pt2

BiPd7Pt2 after structural relaxation (GGA-PBE, Alexandria).

CIF file:
```
data_BiPd7Pt2
_space_group_name_H-M_alt 'P 1'
_space_group_IT_number 1
_cell_length_a 7.441
_cell_length_b 7.441
_cell_length_c 4.431
_cell_angle_alpha 90.00
_cell_angle_beta 90.00
_cell_angle_gamma 121.19
loop_
_space_group_symop_operation_xyz
'x,y,z'
loop_
_atom_site_label
_atom_site_type_symbol
_atom_site_fract_x
_atom_site_fract_y
_atom_site_fract_z
Bi1 Bi 0.000 0.000 0.000
Pd1 Pd 0.070 0.293 0.500
Pd2 Pd 0.206 0.794 0.000
Pd3 Pd 0.293 0.070 0.500
Pd4 Pd 0.500 0.500 0.500
Pd5 Pd 0.707 0.930 0.500
Pd6 Pd 0.794 0.206 0.000
Pd7 Pd 0.930 0.707 0.500
Pt1 Pt 0.302 0.698 0.500
Pt2 Pt 0.698 0.302 0.500
```

N(E_F) ... 1.245 states/eV/atom
Space group ... Cmmm
Formation enthalpy at 0 K ... 350 meV/atom

=====

# BiPd5Pt

BiPd5Pt after structural relaxation (GGA-PBE, Alexandria).

CIF file:
```
data_BiPd5Pt
_space_group_name_H-M_alt 'P 1'
_space_group_IT_number 1
_cell_length_a 4.166
_cell_length_b 4.166
_cell_length_c 7.294
_cell_angle_alpha 90.00
_cell_angle_beta 90.00
_cell_angle_gamma 90.00
loop_
_space_group_symop_operation_xyz
'x,y,z'
loop_
_atom_site_label
_atom_site_type_symbol
_atom_site_fract_x
_atom_site_fract_y
_atom_site_fract_z
Bi1 Bi 0.000 0.000 0.000
Pd1 Pd 0.000 0.500 0.275
Pd2 Pd 0.000 0.500 0.725
Pd3 Pd 0.500 0.000 0.275
Pd4 Pd 0.500 0.000 0.725
Pd5 Pd 0.500 0.500 0.000
Pt1 Pt 0.000 0.000 0.500
```

N(E_F) ... 1.425 states/eV/atom
Space group ... P4/mmm
Formation enthalpy at 0 K ... 36 meV/atom

=====

# Bi3Pd3Pt

Bi3Pd3Pt after structural relaxation (GGA-PBE, Alexandria).

CIF file:
```
data_Bi3Pd3Pt
_space_group_name_H-M_alt 'P 1'
_space_group_IT_number 1
_cell_length_a 9.110
_cell_length_b 9.110
_cell_length_c 11.378
_cell_angle_alpha 90.00
_cell_angle_beta 90.00
_cell_angle_gamma 40.78
loop_
_space_group_symop_operation_xyz
'x,y,z'
loop_
_atom_site_label
_atom_site_type_symbol
_atom_site_fract_x
_atom_site_fract_y
_atom_site_fract_z
Bi1 Bi 0.019 0.611 0.140
Bi2 Bi 0.111 0.519 0.640
Bi3 Bi 0.230 0.770 0.826
Bi4 Bi 0.270 0.730 0.326
Bi5 Bi 0.389 0.981 0.140
Bi6 Bi 0.481 0.889 0.640
Bi7 Bi 0.519 0.111 0.360
Bi8 Bi 0.611 0.019 0.860
Bi9 Bi 0.730 0.270 0.674
Bi10 Bi 0.770 0.230 0.174
Bi11 Bi 0.889 0.481 0.360
Bi12 Bi 0.981 0.389 0.860
Pd1 Pd 0.025 0.277 0.606
Pd2 Pd 0.144 0.856 0.590
Pd3 Pd 0.223 0.475 0.894
Pd4 Pd 0.277 0.025 0.394
Pd5 Pd 0.356 0.644 0.090
Pd6 Pd 0.475 0.223 0.106
Pd7 Pd 0.525 0.777 0.894
Pd8 Pd 0.644 0.356 0.910
Pd9 Pd 0.723 0.975 0.606
Pd10 Pd 0.777 0.525 0.106
Pd11 Pd 0.856 0.144 0.410
Pd12 Pd 0.975 0.723 0.394
Pt1 Pt 0.082 0.082 0.000
Pt2 Pt 0.418 0.418 0.500
Pt3 Pt 0.582 0.582 0.500
Pt4 Pt 0.918 0.918 0.000
```

N(E_F) ... 0.404 states/eV/atom
Space group ... Cmce
Formation enthalpy at 0 K ... -231 meV/atom

=====

# BiPd8Pt2

BiPd8Pt2 after structural relaxation (GGA-PBE, Alexandria).

CIF file:
```
data_BiPd8Pt2
_space_group_name_H-M_alt 'P 1'
_space_group_IT_number 1
_cell_length_a 7.097
_cell_length_b 7.097
_cell_length_c 5.455
_cell_angle_alpha 100.56
_cell_angle_beta 100.56
_cell_angle_gamma 44.63
loop_
_space_group_symop_operation_xyz
'x,y,z'
loop_
_atom_site_label
_atom_site_type_symbol
_atom_site_fract_x
_atom_site_fract_y
_atom_site_fract_z
Bi1 Bi 0.000 0.000 0.000
Pd1 Pd 0.163 0.652 0.338
Pd2 Pd 0.241 0.241 0.999
Pd3 Pd 0.348 0.837 0.662
Pd4 Pd 0.419 0.419 0.812
Pd5 Pd 0.581 0.581 0.188
Pd6 Pd 0.652 0.163 0.338
Pd7 Pd 0.759 0.759 0.001
Pd8 Pd 0.837 0.348 0.662
Pt1 Pt 0.238 0.238 0.480
Pt2 Pt 0.762 0.762 0.520
```

N(E_F) ... 1.442 states/eV/atom
Space group ... C2/m
Formation enthalpy at 0 K ... 37 meV/atom

=====

# BiPd4Pt4

BiPd4Pt4 after structural relaxation (GGA-PBE, Alexandria).

CIF file:
```
data_BiPd4Pt4
_space_group_name_H-M_alt 'P 1'
_space_group_IT_number 1
_cell_length_a 6.408
_cell_length_b 6.408
_cell_length_c 6.408
_cell_angle_alpha 95.55
_cell_angle_beta 95.55
_cell_angle_gamma 143.76
loop_
_space_group_symop_operation_xyz
'x,y,z'
loop_
_atom_site_label
_atom_site_type_symbol
_atom_site_fract_x
_atom_site_fract_y
_atom_site_fract_z
Bi1 Bi 0.000 0.000 0.000
Pd1 Pd 0.330 0.330 0.661
Pd2 Pd 0.330 0.670 0.000
Pd3 Pd 0.670 0.330 0.000
Pd4 Pd 0.670 0.670 0.339
Pt1 Pt 0.000 0.338 0.338
Pt2 Pt 0.000 0.662 0.662
Pt3 Pt 0.338 0.000 0.338
Pt4 Pt 0.662 0.000 0.662
```

N(E_F) ... 1.328 states/eV/atom
Space group ... I4/mmm
Formation enthalpy at 0 K ... -111 meV/atom

=====

# Bi2PdPt2

Bi2PdPt2 after structural relaxation (GGA-PBE, Alexandria).

CIF file:
```
data_Bi2PdPt2
_space_group_name_H-M_alt 'P 1'
_space_group_IT_number 1
_cell_length_a 7.456
_cell_length_b 7.456
_cell_length_c 3.795
_cell_angle_alpha 90.00
_cell_angle_beta 90.00
_cell_angle_gamma 90.00
loop_
_space_group_symop_operation_xyz
'x,y,z'
loop_
_atom_site_label
_atom_site_type_symbol
_atom_site_fract_x
_atom_site_fract_y
_atom_site_fract_z
Bi1 Bi 0.171 0.329 0.000
Bi2 Bi 0.329 0.829 0.000
Bi3 Bi 0.671 0.171 0.000
Bi4 Bi 0.829 0.671 0.000
Pd1 Pd 0.000 0.000 0.500
Pd2 Pd 0.500 0.500 0.500
Pt1 Pt 0.134 0.634 0.500
Pt2 Pt 0.366 0.134 0.500
Pt3 Pt 0.634 0.866 0.500
Pt4 Pt 0.866 0.366 0.500
```

N(E_F) ... 0.347 states/eV/atom
Space group ... P4/mbm
Formation enthalpy at 0 K ... -130 meV/atom

=====

# Bi2Pd6Pt

Bi2Pd6Pt after structural relaxation (GGA-PBE, Alexandria).

CIF file:
```
data_Bi2Pd6Pt
_space_group_name_H-M_alt 'P 1'
_space_group_IT_number 1
_cell_length_a 5.662
_cell_length_b 5.662
_cell_length_c 6.464
_cell_angle_alpha 101.98
_cell_angle_beta 101.98
_cell_angle_gamma 56.90
loop_
_space_group_symop_operation_xyz
'x,y,z'
loop_
_atom_site_label
_atom_site_type_symbol
_atom_site_fract_x
_atom_site_fract_y
_atom_site_fract_z
Bi1 Bi 0.160 0.160 0.175
Bi2 Bi 0.840 0.840 0.825
Pd1 Pd 0.163 0.673 0.298
Pd2 Pd 0.312 0.312 0.606
Pd3 Pd 0.327 0.837 0.702
Pd4 Pd 0.673 0.163 0.298
Pd5 Pd 0.688 0.688 0.394
Pd6 Pd 0.837 0.327 0.702
Pt1 Pt 0.500 0.500 0.000
```

N(E_F) ... 0.727 states/eV/atom
Space group ... C2/m
Formation enthalpy at 0 K ... -72 meV/atom

=====

# BiPd5Pt2

BiPd5Pt2 after structural relaxation (GGA-PBE, Alexandria).

CIF file:
```
data_BiPd5Pt2
_space_group_name_H-M_alt 'P 1'
_space_group_IT_number 1
_cell_length_a 7.549
_cell_length_b 7.549
_cell_length_c 7.549
_cell_angle_alpha 125.38
_cell_angle_beta 125.38
_cell_angle_gamma 80.91
loop_
_space_group_symop_operation_xyz
'x,y,z'
loop_
_atom_site_label
_atom_site_type_symbol
_atom_site_fract_x
_atom_site_fract_y
_atom_site_fract_z
Bi1 Bi 0.250 0.250 0.000
Bi2 Bi 0.750 0.750 0.000
Pd1 Pd 0.000 0.000 0.000
Pd2 Pd 0.012 0.512 0.202
Pd3 Pd 0.190 0.988 0.500
Pd4 Pd 0.310 0.810 0.798
Pd5 Pd 0.488 0.690 0.500
Pd6 Pd 0.500 0.500 0.000
Pd7 Pd 0.512 0.310 0.500
Pd8 Pd 0.690 0.190 0.202
Pd9 Pd 0.810 0.012 0.500
Pd10 Pd 0.988 0.488 0.798
Pt1 Pt 0.142 0.358 0.500
Pt2 Pt 0.358 0.858 0.215
Pt3 Pt 0.642 0.142 0.785
Pt4 Pt 0.858 0.642 0.500
```

N(E_F) ... 1.147 states/eV/atom
Space group ... I4/mcm
Formation enthalpy at 0 K ... 10 meV/atom